# CoHgTe | Alexandria via LeMat-Bulk | PBE | relaxed
# Uncorrected formation energy   0.14 eV/atom
data_CoHgTe
_chemical_formula_sum 'Co1 Hg1 Te1'
_cell_length_a 3.5215
_cell_length_b 3.5215
_cell_length_c 6.1306
_cell_angle_alpha 90.00
_cell_angle_beta 90.00
_cell_angle_gamma 120.00
_symmetry_space_group_name_H-M 'P 3 m 1'
_symmetry_Int_Tables_number 156
_symmetry_space_group_name_Hall 'P 3 -2"'
loop_
_atom_site_label
_atom_site_fract_x
_atom_site_fract_y
_atom_site_fract_z
Co1 0.0000 0.0000 0.0000
Hg1 0.6667 0.3333 0.3033
Te1 0.3333 0.6667 0.7738